# Nd5ErTm2

A relaxed Nd5ErTm2 crystal (PBE, the Alexandria database).

It has space group I4/mcm (No. 140), with a = 9.218 Å, b = 9.218 Å, c = 12.671 Å, α = 90.00°, β = 90.00° and γ = 90.00°. The inequivalent atoms are Nd at (0.000, 0.000, 0.000), Nd at (0.150, 0.350, 0.164), Er at (0.000, 0.000, 0.250) and Tm at (0.145, 0.355, 0.500).

The formation energy is 0.116 eV per atom. The value obtained for the spin magnetization is 0.042 μB/atom. The energy is -4.55 eV per atom.